# 1
LaCoBiPb2, optimized geometry, DFT GGA-PBE; symmetry = P4/mmm, No. 123; DFT formation energy = -0.295 eV per atom; M_tot = 0.00 μB/f.u.; crystal system = tetragonal; DOS at the Fermi energy = 2.39 states/eV per cell; calculated total energy = -4.96 eV/atom
1.0
5.152 0.000 0.000
0.000 5.152 0.000
0.000 0.000 5.169
La Co Bi Pb
1 1 1 2
direct
0.000 0.000 0.000
0.000 0.000 0.500
0.500 0.500 0.000
0.000 0.500 0.500
0.500 0.000 0.500

=====

# 2
RbLaCo2Bi, optimized geometry, DFT GGA-PBE; symmetry = P4/mmm, No. 123; DFT formation energy = 0.949 eV per atom; M_tot = 2.90 μB/f.u.; crystal system = tetragonal; DOS at the Fermi energy = 11.86 states/eV per cell; calculated total energy = -3.85 eV/atom
1.0
5.110 0.000 0.000
0.000 5.110 0.000
0.000 0.000 6.149
Rb La Co Bi
1 1 2 1
direct
0.000 0.000 0.000
0.500 0.500 0.000
0.000 0.500 0.500
0.500 0.000 0.500
0.500 0.500 0.500

=====

# 3
LaCoBi2Ru, optimized geometry, DFT GGA-PBE; symmetry = P4/mmm, No. 123; DFT formation energy = 0.266 eV per atom; M_tot = 2.11 μB/f.u.; crystal system = tetragonal; DOS at the Fermi energy = 6.52 states/eV per cell; calculated total energy = -5.55 eV/atom
1.0
5.286 0.000 0.000
0.000 5.286 0.000
0.000 0.000 4.735
La Co Bi Ru
1 1 2 1
direct
0.000 0.000 0.000
0.500 0.500 0.000
0.000 0.500 0.500
0.500 0.000 0.500
0.500 0.500 0.500

=====

# 4
LaCoBiS2, optimized geometry, DFT GGA-PBE; symmetry = P4/mmm, No. 123; M_tot = 2.30 μB/f.u.; ΔE_f (raw) = 3.95 eV per formula unit; crystal system = tetragonal; DOS at the Fermi energy = 12.19 states/eV per cell; calculated total energy = -4.04 eV/atom
1.0
5.253 0.000 0.000
0.000 5.253 0.000
0.000 0.000 6.214
La Co Bi S
1 1 1 2
direct
0.000 0.000 0.000
0.500 0.500 0.000
0.000 0.000 0.500
0.000 0.500 0.500
0.500 0.000 0.500

=====

# 5
La2ScCoBi, optimized geometry, DFT GGA-PBE; symmetry = P4/mmm, No. 123; DFT formation energy = -0.459 eV per atom; M_tot = 0.00 μB/f.u.; crystal system = tetragonal; DOS at the Fermi energy = 3.45 states/eV per cell; calculated total energy = -5.89 eV/atom
1.0
5.203 0.000 0.000
0.000 5.203 0.000
0.000 0.000 5.134
La Sc Co Bi
2 1 1 1
direct
0.000 0.500 0.000
0.500 0.000 0.000
0.000 0.000 0.500
0.000 0.000 0.000
0.500 0.500 0.500

=====

# 6
LaCoSi2Bi, optimized geometry, DFT GGA-PBE; symmetry = P4/mmm, No. 123; M_tot = 0.09 μB/f.u.; ΔE_f (raw) = 9.09 eV per formula unit; crystal system = tetragonal; DOS at the Fermi energy = 10.59 states/eV per cell; calculated total energy = -3.53 eV/atom
1.0
5.420 0.000 0.000
0.000 5.420 0.000
0.000 0.000 6.079
La Co Si Bi
1 1 2 1
direct
0.000 0.000 0.000
0.500 0.500 0.500
0.000 0.500 0.000
0.500 0.000 0.000
0.000 0.000 0.500

=====

# 7
LaCoSn2Bi, optimized geometry, DFT GGA-PBE; symmetry = P4/mmm, No. 123; DFT formation energy = -0.427 eV per atom; M_tot = 0.00 μB/f.u.; crystal system = tetragonal; DOS at the Fermi energy = 2.84 states/eV per cell; calculated total energy = -5.21 eV/atom
1.0
5.005 0.000 0.000
0.000 5.005 0.000
0.000 0.000 5.177
La Co Sn Bi
1 1 2 1
direct
0.000 0.000 0.000
0.000 0.000 0.500
0.000 0.500 0.500
0.500 0.000 0.500
0.500 0.500 0.000

=====

# 8
SrLa2CoBi, optimized geometry, DFT GGA-PBE; symmetry = P4/mmm, No. 123; DFT formation energy = -0.411 eV per atom; M_tot = 0.00 μB/f.u.; crystal system = tetragonal; DOS at the Fermi energy = 3.47 states/eV per cell; calculated total energy = -4.92 eV/atom
1.0
5.188 0.000 0.000
0.000 5.188 0.000
0.000 0.000 5.852
Sr La Co Bi
1 2 1 1
direct
0.000 0.000 0.000
0.000 0.500 0.500
0.500 0.000 0.500
0.000 0.000 0.500
0.500 0.500 0.000

=====

# 9
LaTl2CoBi, optimized geometry, DFT GGA-PBE; symmetry = P4/mmm, No. 123; DFT formation energy = -0.240 eV per atom; M_tot = 0.00 μB/f.u.; crystal system = tetragonal; DOS at the Fermi energy = 5.78 states/eV per cell; calculated total energy = -4.37 eV/atom
1.0
5.121 0.000 0.000
0.000 5.121 0.000
0.000 0.000 5.161
La Tl Co Bi
1 2 1 1
direct
0.000 0.000 0.000
0.000 0.500 0.500
0.500 0.000 0.500
0.000 0.000 0.500
0.500 0.500 0.000

=====

# 10
La2TlCoBi, optimized geometry, DFT GGA-PBE; symmetry = P4/mmm, No. 123; DFT formation energy = -0.516 eV per atom; M_tot = 0.00 μB/f.u.; crystal system = tetragonal; DOS at the Fermi energy = 2.71 states/eV per cell; calculated total energy = -5.16 eV/atom
1.0
5.318 0.000 0.000
0.000 5.318 0.000
0.000 0.000 5.024
La Tl Co Bi
2 1 1 1
direct
0.000 0.500 0.000
0.500 0.000 0.000
0.000 0.000 0.500
0.000 0.000 0.000
0.500 0.500 0.500

=====

# 11
La2YCoBi, optimized geometry, DFT GGA-PBE; symmetry = P4/mmm, No. 123; DFT formation energy = -0.475 eV per atom; M_tot = 0.00 μB/f.u.; crystal system = tetragonal; DOS at the Fermi energy = 3.80 states/eV per cell; calculated total energy = -5.94 eV/atom
1.0
5.159 0.000 0.000
0.000 5.159 0.000
0.000 0.000 5.516
La Y Co Bi
2 1 1 1
direct
0.000 0.500 0.000
0.500 0.000 0.000
0.000 0.000 0.500
0.000 0.000 0.000
0.500 0.500 0.500

=====

# 12
LaY2CoBi, optimized geometry, DFT GGA-PBE; symmetry = P4/mmm, No. 123; DFT formation energy = -0.418 eV per atom; M_tot = 0.00 μB/f.u.; crystal system = tetragonal; DOS at the Fermi energy = 4.83 states/eV per cell; calculated total energy = -6.19 eV/atom
1.0
5.298 0.000 0.000
0.000 5.298 0.000
0.000 0.000 5.094
La Y Co Bi
1 2 1 1
direct
0.000 0.000 0.000
0.000 0.500 0.500
0.500 0.000 0.500
0.000 0.000 0.500
0.500 0.500 0.000

=====

Q: What is the M_tot in the third record?
A: 2.11 μB/f.u.

=====

Q: calculated total energy of number 2 (RbLaCo2Bi)?
A: -3.85 eV/atom

=====

Repeat the third record exactly.
LaCoBi2Ru, optimized geometry, DFT GGA-PBE; symmetry = P4/mmm, No. 123; DFT formation energy = 0.266 eV per atom; M_tot = 2.11 μB/f.u.; crystal system = tetragonal; DOS at the Fermi energy = 6.52 states/eV per cell; calculated total energy = -5.55 eV/atom
1.0
5.286 0.000 0.000
0.000 5.286 0.000
0.000 0.000 4.735
La Co Bi Ru
1 1 2 1
direct
0.000 0.000 0.000
0.500 0.500 0.000
0.000 0.500 0.500
0.500 0.000 0.500
0.500 0.500 0.500